[1]
Crystalline Sn3MoSe at its relaxed geometry, computed with GGA-PBEsol.

Output
The volume is 150.0 Å³/cell. The total energy comes out at -22.22 eV for the cell shown. Its symmetry is Pm-3m (221). For the spin magnetization, the calculation gives 4.1 μB per formula unit.

Structure (extended XYZ):
```
5
Lattice="5.3128 0.0000 0.0000 0.0000 5.3128 0.0000 0.0000 0.0000 5.3128" Properties=species:S:1:pos:R:3 pbc="T T T"
Sn 0.0000 0.0000 2.6564
Sn 0.0000 2.6564 0.0000
Sn 2.6564 0.0000 0.0000
Mo 2.6564 2.6564 2.6564
Se 0.0000 0.0000 0.0000
```

***

[2]
Crystalline La3SiMo at its relaxed geometry, computed with GGA-PBEsol.

Output
The volume is 147.5 Å³/cell. The total energy comes out at -32.34 eV for the cell shown. Its symmetry is Pm-3m (221). For the spin magnetization, the calculation gives 0.0 μB per formula unit.

Structure (extended XYZ):
```
5
Lattice="5.2841 0.0000 0.0000 0.0000 5.2841 0.0000 0.0000 0.0000 5.2841" Properties=species:S:1:pos:R:3 pbc="T T T"
La 0.0000 0.0000 2.6421
La 0.0000 2.6421 0.0000
La 2.6421 0.0000 0.0000
Si 2.6421 2.6421 2.6421
Mo 0.0000 0.0000 0.0000
```

***

[3]
Crystalline RbBeSn2Os at its relaxed geometry, computed with GGA-PBEsol.

Output
The volume is 162.5 Å³/cell. Its symmetry is P4/mmm (123). The value obtained for the energy of formation is 1.00 eV per atom. For the spin magnetization, the calculation gives 0.0 μB per formula unit.

Structure (extended XYZ):
```
5
Lattice="5.0511 0.0000 0.0000 0.0000 5.0511 0.0000 0.0000 0.0000 6.3702" Properties=species:S:1:pos:R:3 pbc="T T T"
Rb 0.0000 0.0000 0.0000
Be 2.5256 2.5256 0.0000
Sn 0.0000 2.5256 3.1851
Sn 2.5256 0.0000 3.1851
Os 0.0000 0.0000 3.1851
```

***

[4]
Crystalline TaCd2Ru at its relaxed geometry, computed with GGA-PBEsol.

Output
The volume is 67.9 Å³/cell. Its symmetry is P4/mmm (123). The value obtained for the energy of formation is 0.52 eV per atom. For the spin magnetization, the calculation gives 0.0 μB per formula unit.

Structure (extended XYZ):
```
4
Lattice="3.2533 0.0000 0.0000 0.0000 3.2533 0.0000 0.0000 0.0000 6.4173" Properties=species:S:1:pos:R:3 pbc="T T T"
Ta 0.0000 0.0000 0.0000
Cd 1.6267 1.6267 1.7299
Cd 1.6267 1.6267 4.6874
Ru 0.0000 0.0000 3.2086
```

***

[5]
Crystalline Zr4Ag3 at its relaxed geometry, computed with GGA-PBEsol.

Output
The volume is 277.6 Å³/cell. Its symmetry is I4/mmm (139). The value obtained for the energy of formation is -0.11 eV per atom. For the spin magnetization, the calculation gives 0.0 μB per formula unit.

Structure (extended XYZ):
```
14
Lattice="3.3518 0.0000 0.0000 0.0000 3.3518 0.0000 0.0000 0.0000 24.7114" Properties=species:S:1:pos:R:3 pbc="T T T"
Zr 0.0000 0.0000 1.8095
Zr 0.0000 0.0000 8.5858
Zr 0.0000 0.0000 16.1256
Zr 0.0000 0.0000 22.9019
Zr 1.6759 1.6759 3.7699
Zr 1.6759 1.6759 10.5462
Zr 1.6759 1.6759 14.1652
Zr 1.6759 1.6759 20.9415
Ag 0.0000 0.0000 5.4292
Ag 0.0000 0.0000 12.3557
Ag 0.0000 0.0000 19.2822
Ag 1.6759 1.6759 0.0000
Ag 1.6759 1.6759 6.9265
Ag 1.6759 1.6759 17.7849
```

***

[6]
Crystalline K2CrIn at its relaxed geometry, computed with GGA-PBEsol.

Output
The volume is 325.5 Å³/cell. Its symmetry is Cm (8). The value obtained for the energy of formation is 0.52 eV per atom. For the spin magnetization, the calculation gives 4.2 μB per formula unit.

Structure (extended XYZ):
```
8
Lattice="8.3583 0.0000 0.0000 0.0000 4.8272 0.0000 -2.7938 0.0000 8.0682" Properties=species:S:1:pos:R:3 pbc="T T T"
K 0.0000 0.0000 0.0000
K 0.0013 0.0000 4.5969
K 4.1792 2.4136 0.0000
K 4.1805 2.4136 4.5969
Cr 2.7871 0.0000 2.2948
Cr 6.9662 2.4136 2.2948
In 1.3948 2.4136 2.3021
In 5.5740 0.0000 2.3021
```

***

[7]
Crystalline Cu2RuSe at its relaxed geometry, computed with GGA-PBEsol.

Output
The volume is 107.9 Å³/cell. The total energy comes out at -42.55 eV for the cell shown. Its symmetry is Cmmm (65). For the spin magnetization, the calculation gives 0.0 μB per formula unit.

Structure (extended XYZ):
```
8
Lattice="4.8446 0.0000 0.0000 0.0000 7.5149 0.0000 0.0000 0.0000 2.9636" Properties=species:S:1:pos:R:3 pbc="T T T"
Cu 1.2111 1.8787 0.0000
Cu 1.2111 5.6362 0.0000
Cu 3.6334 1.8787 0.0000
Cu 3.6334 5.6362 0.0000
Ru 0.0000 0.0000 1.4818
Ru 2.4223 3.7575 1.4818
Se 0.0000 3.7575 1.4818
Se 2.4223 0.0000 1.4818
```

***

[8]
Crystalline Zr2CrP at its relaxed geometry, computed with GGA-PBEsol.

Output
The volume is 134.4 Å³/cell. Its symmetry is Imm2 (44). The value obtained for the energy of formation is -0.44 eV per atom. For the spin magnetization, the calculation gives 0.0 μB per formula unit.

Structure (extended XYZ):
```
8
Lattice="3.2685 0.0000 0.0000 0.0000 3.9797 0.0000 0.0000 0.0000 10.3342" Properties=species:S:1:pos:R:3 pbc="T T T"
Zr 0.0000 0.0000 0.0000
Zr 0.0000 1.9898 2.4748
Zr 1.6342 0.0000 7.6419
Zr 1.6342 1.9898 5.1671
Cr 0.0000 1.9898 7.8811
Cr 1.6342 0.0000 2.7139
P 0.0000 0.0000 4.3985
P 1.6342 1.9898 9.5656
```